## P
A plane-wave DFT calculation with PBE-GGA was carried out for HfSnC3 after structural relaxation.

POSCAR file:
```
HfSnC3
1.0
-4.335 0.102 -0.207
-0.091 -4.333 -0.233
-0.212 -0.229 4.329
Hf C Sn
1 3 1
Direct
0.000 0.000 0.000
0.000 0.000 0.500
0.500 0.000 0.000
0.000 0.500 0.000
0.500 0.500 0.500
```

---

## Q
A plane-wave DFT calculation with PBE-GGA was carried out for HfSnC3 after structural relaxation.

POSCAR file:
```
HfSnC3
1.0
-0.743 -4.016 0.803
2.989 -1.090 -2.684
2.800 0.098 3.079
C Hf Sn
3 1 1
Direct
0.500 0.000 0.000
0.000 0.500 0.000
0.000 0.000 0.500
0.500 0.500 0.500
0.000 0.000 0.000
```

---

Stability verdict: P, ahead by 50.6 kJ/mol of atoms

---

## P
A plane-wave DFT calculation with PBE-GGA was carried out for Hf2SnC after structural relaxation.

POSCAR file:
```
Hf2SnC
1.0
6.770 0.000 0.000
0.000 6.770 0.000
3.385 3.385 3.355
Hf Sn C
4 2 2
Direct
0.214 0.625 0.250
0.875 0.786 0.750
0.536 0.125 0.250
0.375 0.464 0.750
0.000 0.000 0.000
0.750 0.250 0.500
0.250 0.750 0.500
0.500 0.500 0.000
```

---

## Q
A plane-wave DFT calculation with PBE-GGA was carried out for Hf2SnC after structural relaxation.

POSCAR file:
```
Hf2SnC
1.0
0.000 3.304 3.304
3.304 0.000 3.304
3.304 3.304 0.000
C Sn Hf
1 1 2
Direct
0.000 0.000 0.000
0.500 0.500 0.500
0.250 0.250 0.250
0.750 0.750 0.750
```

---

## R
A plane-wave DFT calculation with PBE-GGA was carried out for Hf2SnC after structural relaxation.

POSCAR file:
```
Hf2SnC
1.0
-1.863 -1.735 2.093
1.160 -2.790 1.314
2.877 3.940 5.826
Sn C Hf
1 1 2
Direct
0.737 0.857 0.550
0.404 0.524 0.050
0.071 0.190 0.869
0.071 0.190 0.231
```

---

## S
A plane-wave DFT calculation with PBE-GGA was carried out for Hf2SnC after structural relaxation.

POSCAR file:
```
Hf2SnC
1.0
-1.862 3.830 -1.514
-3.983 -0.088 4.678
6.548 5.427 5.677
Sn C Hf
4 4 8
Direct
0.250 0.839 0.874
0.750 0.661 0.374
0.250 0.339 0.626
0.750 0.161 0.126
0.250 0.632 0.086
0.250 0.132 0.414
0.750 0.368 0.914
0.750 0.868 0.586
0.750 0.154 0.451
0.750 0.654 0.049
0.250 0.846 0.549
0.750 0.090 0.768
0.250 0.346 0.951
0.250 0.410 0.268
0.750 0.590 0.732
0.250 0.910 0.232
```

---

Stability verdict: S, ahead by 4.1 kJ/mol of atoms

---

## P
A plane-wave DFT calculation with PBE-GGA was carried out for SrHfC3 after structural relaxation.

POSCAR file:
```
SrHfC3
1.0
4.261 0.000 0.000
0.000 4.261 0.000
0.000 0.000 4.261
C Sr Hf
3 1 1
Direct
0.000 0.500 0.000
0.000 0.000 0.500
0.500 0.000 0.000
0.000 0.000 0.000
0.500 0.500 0.500
```

---

## Q
A plane-wave DFT calculation with PBE-GGA was carried out for SrHfC3 after structural relaxation.

POSCAR file:
```
SrHfC3
1.0
4.362 0.000 0.000
0.000 4.362 0.000
0.000 0.000 4.362
Sr C Hf
1 3 1
Direct
0.500 0.500 0.500
0.500 0.000 0.000
0.000 0.000 0.500
0.000 0.500 0.000
0.000 0.000 0.000
```

---

Stability verdict: Q, ahead by 181.3 kJ/mol of atoms

---

## P
A plane-wave DFT calculation with PBE-GGA was carried out for SrHf3C after structural relaxation.

POSCAR file:
```
SrHf3C
1.0
-4.187 1.178 1.855
-1.976 -0.271 -4.287
-0.962 -4.571 0.732
Hf C Sr
3 1 1
Direct
0.500 0.000 0.000
0.000 0.500 0.000
0.000 0.000 0.500
0.000 0.000 0.000
0.500 0.500 0.500
```

---

## Q
A plane-wave DFT calculation with PBE-GGA was carried out for SrHf3C after structural relaxation.

POSCAR file:
```
SrHf3C
1.0
5.087 0.000 0.000
0.000 5.087 0.000
0.000 0.000 5.087
Hf C Sr
3 1 1
Direct
0.000 0.500 0.000
0.000 0.000 0.500
0.500 0.000 0.000
0.500 0.500 0.500
0.000 0.000 0.000
```

---

Stability verdict: P, ahead by 303.3 kJ/mol of atoms